PBE-GGA CaZn2, relaxed; calculated volume = 127.9 Å³ per cell; DFT total energy = -10.1 eV for the cell shown; symmetry = I4/mmm
1.0
3.4693 0.0000 0.0000
0.0000 3.4693 0.0000
0.0000 0.0000 10.6261
Ca Zn
2 4
direct
0.0000 0.0000 0.0000 Ca
0.5000 0.5000 0.5000 Ca
0.0000 0.0000 0.3071 Zn
0.0000 0.0000 0.6929 Zn
0.5000 0.5000 0.1929 Zn
0.5000 0.5000 0.8071 Zn